This record from the Alexandria database describes a PBEsol-optimized structure of Zr3TiH. The functional is SCAN.

Geometry as extended XYZ:
```
5
Lattice="4.400 0.000 0.000 0.000 4.400 0.000 0.000 0.000 4.400" Properties=species:S:1:pos:R:3 pbc="T T T"
Zr 0.000 0.000 2.200
Zr 0.000 2.200 0.000
Zr 2.200 0.000 0.000
Ti 2.200 2.200 2.200
H 0.000 0.000 0.000
```

Results
The total energy comes out at -111.9 eV per cell. The total moment is 0.00 μB per formula unit. The density of states at the Fermi level comes out at 5.98 states/eV/f.u.

***

This record from the Alexandria database describes a PBEsol-optimized structure of ZrTi3H. The functional is SCAN.

Geometry as extended XYZ:
```
5
Lattice="4.174 0.000 0.000 0.000 4.174 0.000 0.000 0.000 4.174" Properties=species:S:1:pos:R:3 pbc="T T T"
Zr 0.000 0.000 0.000
Ti 0.000 2.087 2.087
Ti 2.087 0.000 2.087
Ti 2.087 2.087 0.000
H 2.087 2.087 2.087
```

Results
The total energy comes out at -82.6 eV per cell. The total moment is 0.00 μB per formula unit. The density of states at the Fermi level comes out at 7.30 states/eV/f.u.

***

This record from the Alexandria database describes a PBEsol-optimized structure of Y2TlH2. The functional is SCAN.

Geometry as extended XYZ:
```
5
Lattice="-1.877 1.877 5.962 1.877 -1.877 5.962 1.877 1.877 -5.962" Properties=species:S:1:pos:R:3 pbc="T T T"
Y 0.000 0.000 1.808
Y 0.000 0.000 10.115
Tl 0.000 0.000 5.962
H 1.877 0.000 2.981
H 0.000 1.877 2.981
```

Results
The total energy comes out at -138.9 eV per cell. The total moment is 0.00 μB per formula unit. The density of states at the Fermi level comes out at 1.50 states/eV/f.u.

***

This record from the Alexandria database describes a PBEsol-optimized structure of Y2TlH. The functional is SCAN.

Geometry as extended XYZ:
```
8
Lattice="-3.421 3.421 3.682 3.421 -3.421 3.682 3.421 3.421 -3.682" Properties=species:S:1:pos:R:3 pbc="T T T"
Y 5.132 1.048 -0.920
Y 1.048 1.711 0.920
Y -1.711 2.374 2.761
Y 2.374 1.711 4.602
Tl 3.421 0.000 1.841
Tl 0.000 0.000 3.682
H 0.000 0.000 0.000
H 0.000 3.421 1.841
```

Results
The total energy comes out at -266.9 eV per cell. The total moment is 0.00 μB per formula unit. The density of states at the Fermi level comes out at 3.00 states/eV/f.u.

***

This record from the Alexandria database describes a PBEsol-optimized structure of Y3TlH. The functional is SCAN.

Geometry as extended XYZ:
```
5
Lattice="4.776 0.000 0.000 0.000 4.776 0.000 0.000 0.000 4.776" Properties=species:S:1:pos:R:3 pbc="T T T"
Y 0.000 0.000 2.388
Y 0.000 2.388 0.000
Y 2.388 0.000 0.000
Tl 2.388 2.388 2.388
H 0.000 0.000 0.000
```

Results
The total energy comes out at -161.6 eV per cell. The total moment is 2.30 μB per formula unit. The density of states at the Fermi level comes out at 2.26 states/eV/f.u.

***

This record from the Alexandria database describes a PBEsol-optimized structure of ZrTlH3. The functional is SCAN.

Geometry as extended XYZ:
```
5
Lattice="3.850 0.000 0.000 0.000 3.850 0.000 0.000 0.000 3.850" Properties=species:S:1:pos:R:3 pbc="T T T"
Zr 0.000 0.000 0.000
Tl 1.925 1.925 1.925
H 0.000 1.925 1.925
H 1.925 0.000 1.925
H 1.925 1.925 0.000
```

Results
The total energy comes out at -109.3 eV per cell. The total moment is 0.00 μB per formula unit. The density of states at the Fermi level comes out at 1.33 states/eV/f.u.